First-principles (PBE-GGA) data for crystalline PuPa4Se5 at its relaxed geometry, as listed in Alexandria.

As for the crystal system: monoclinic. The total energy is -8.239 eV/atom.

The structure belongs to space group C2/m (No. 12); the cell edges are 13.7611, 3.9874 and 10.1390 Å and the angles 90.00°, 120.52° and 90.00°. Symmetry generates all atoms from Pu at (0.0000, 0.0000, 0.0000), Pa at (0.0987, 0.5000, 0.4014), Pa at (0.1995, 0.0000, 0.7957), Se at (0.0000, 0.0000, 0.5000), Se at (0.1007, 0.5000, 0.9012) and Se at (0.1975, 0.0000, 0.2996).

=====

First-principles (PBE-GGA) data for crystalline Mg2SnGe2Pd5 at its relaxed geometry, as listed in Alexandria.

As for the crystal system: tetragonal. For the formation energy, the calculation gives -0.512 eV/atom.

The structure belongs to space group P4/mbm (No. 127); the cell edges are 9.6645, 9.6645 and 3.7000 Å and the angles 90.00°, 90.00° and 90.00°. Symmetry generates all atoms from Mg at (0.1705, 0.3295, 0.0000), Sn at (0.0000, 0.0000, 0.0000), Ge at (0.1276, 0.6276, 0.0000), Pd at (0.0000, 0.5000, 0.5000) and Pd at (0.0747, 0.7968, 0.5000).

=====

First-principles (PBE-GGA) data for crystalline LiTiBr2 at its relaxed geometry, as listed in Alexandria.

As for the crystal system: trigonal. The energy above the lowest structure with this stoichiometry is 0.000 eV per atom.

The structure belongs to space group R-3m (No. 166, hexagonal axes); the cell edges are 3.6397, 3.6397 and 24.6595 Å and the angles 90.00°, 90.00° and 120.00°. Symmetry generates all atoms from Li at (0.0000, 0.0000, 0.0000), Ti at (0.0000, 0.0000, 0.5000) and Br at (0.0000, 0.0000, 0.3978).